The following is a DFT calculation (PBE) of YEr2In3AgIr2 after structural relaxation.

The structure in CIF format:
```
data_YEr2In3AgIr2
_chemical_formula_sum 'Y1 Er2 In3 Ag1 Ir2'
_cell_length_a 3.807
_cell_length_b 7.725
_cell_length_c 7.725
_cell_angle_alpha 120.39
_cell_angle_beta 90.00
_cell_angle_gamma 90.00
_symmetry_space_group_name_H-M 'P 1'
_symmetry_Int_Tables_number 1
loop_
_symmetry_equiv_pos_as_xyz
'x,y,z'
loop_
_atom_site_label
_atom_site_type_symbol
_atom_site_fract_x
_atom_site_fract_y
_atom_site_fract_z
Ag1 Ag 0.000 0.999 0.999
Er1 Er 0.000 0.588 0.000
Er2 Er 0.000 0.000 0.588
In1 In 0.500 0.000 0.269
In2 In 0.500 0.731 0.731
In3 In 0.500 0.269 0.000
Ir1 Ir 0.500 0.670 0.332
Ir2 Ir 0.500 0.332 0.670
Y1 Y 0.000 0.411 0.411
```

density = 10.7 g cm⁻³
final energy = -5.540 eV per atom



The following is a DFT calculation (PBE) of LaEr2In3AgPd2 after structural relaxation.

The structure in CIF format:
```
data_LaEr2In3AgPd2
_chemical_formula_sum 'La1 Er2 In3 Ag1 Pd2'
_cell_length_a 3.842
_cell_length_b 7.875
_cell_length_c 7.875
_cell_angle_alpha 120.23
_cell_angle_beta 90.00
_cell_angle_gamma 90.00
_symmetry_space_group_name_H-M 'P 1'
_symmetry_Int_Tables_number 1
loop_
_symmetry_equiv_pos_as_xyz
'x,y,z'
loop_
_atom_site_label
_atom_site_type_symbol
_atom_site_fract_x
_atom_site_fract_y
_atom_site_fract_z
Ag1 Ag 0.000 0.998 0.998
Er1 Er 0.000 0.000 0.591
Er2 Er 0.000 0.591 0.000
In1 In 0.500 0.993 0.266
In2 In 0.500 0.739 0.739
In3 In 0.500 0.266 0.993
La1 La 0.000 0.411 0.411
Pd1 Pd 0.500 0.671 0.330
Pd2 Pd 0.500 0.330 0.671
```

density = 9.2 g cm⁻³
final energy = -4.615 eV per atom



The following is a DFT calculation (PBE) of La2ErIn3AgPt2 after structural relaxation.

The structure in CIF format:
```
data_La2ErIn3AgPt2
_chemical_formula_sum 'La2 Er1 In3 Ag1 Pt2'
_cell_length_a 3.993
_cell_length_b 7.875
_cell_length_c 7.875
_cell_angle_alpha 119.82
_cell_angle_beta 90.00
_cell_angle_gamma 90.00
_symmetry_space_group_name_H-M 'P 1'
_symmetry_Int_Tables_number 1
loop_
_symmetry_equiv_pos_as_xyz
'x,y,z'
loop_
_atom_site_label
_atom_site_type_symbol
_atom_site_fract_x
_atom_site_fract_y
_atom_site_fract_z
Ag1 Ag 0.000 0.997 0.997
Er1 Er 0.000 0.586 0.586
In1 In 0.500 0.265 0.265
In2 In 0.500 0.993 0.739
In3 In 0.500 0.739 0.993
La1 La 0.000 0.415 0.000
La2 La 0.000 0.000 0.415
Pt1 Pt 0.500 0.664 0.341
Pt2 Pt 0.500 0.341 0.664
```

density = 10.0 g cm⁻³
final energy = -4.987 eV per atom



The following is a DFT calculation (PBE) of LiErInAg after structural relaxation.

The structure in CIF format:
```
data_LiErInAg
_chemical_formula_sum 'Li1 Er1 In1 Ag1'
_cell_length_a 4.846
_cell_length_b 4.846
_cell_length_c 4.846
_cell_angle_alpha 60.00
_cell_angle_beta 60.00
_cell_angle_gamma 60.00
_symmetry_space_group_name_H-M 'P 1'
_symmetry_Int_Tables_number 1
loop_
_symmetry_equiv_pos_as_xyz
'x,y,z'
loop_
_atom_site_label
_atom_site_type_symbol
_atom_site_fract_x
_atom_site_fract_y
_atom_site_fract_z
Ag1 Ag 0.000 0.000 0.000
Er1 Er 0.750 0.750 0.750
In1 In 0.250 0.250 0.250
Li1 Li 0.500 0.500 0.500
```

density = 8.2 g cm⁻³
final energy = -3.388 eV per atom



The following is a DFT calculation (PBE) of Er2LuIn3NiAg2 after structural relaxation.

The structure in CIF format:
```
data_Er2LuIn3NiAg2
_chemical_formula_sum 'Er2 Lu1 In3 Ni1 Ag2'
_cell_length_a 3.787
_cell_length_b 7.731
_cell_length_c 7.731
_cell_angle_alpha 119.82
_cell_angle_beta 90.00
_cell_angle_gamma 90.00
_symmetry_space_group_name_H-M 'P 1'
_symmetry_Int_Tables_number 1
loop_
_symmetry_equiv_pos_as_xyz
'x,y,z'
loop_
_atom_site_label
_atom_site_type_symbol
_atom_site_fract_x
_atom_site_fract_y
_atom_site_fract_z
Ag1 Ag 0.500 0.665 0.334
Ag2 Ag 0.500 0.334 0.665
Er1 Er 0.000 0.602 0.000
Er2 Er 0.000 0.000 0.602
In1 In 0.500 0.251 0.000
In2 In 0.500 0.000 0.251
In3 In 0.500 0.750 0.750
Lu1 Lu 0.000 0.396 0.396
Ni1 Ni 0.000 0.001 0.001
```

density = 9.5 g cm⁻³
final energy = -4.124 eV per atom



The following is a DFT calculation (PBE) of ErLu2In3NiAg2 after structural relaxation.

The structure in CIF format:
```
data_ErLu2In3NiAg2
_chemical_formula_sum 'Er1 Lu2 In3 Ni1 Ag2'
_cell_length_a 3.763
_cell_length_b 7.736
_cell_length_c 7.736
_cell_angle_alpha 120.18
_cell_angle_beta 90.00
_cell_angle_gamma 90.00
_symmetry_space_group_name_H-M 'P 1'
_symmetry_Int_Tables_number 1
loop_
_symmetry_equiv_pos_as_xyz
'x,y,z'
loop_
_atom_site_label
_atom_site_type_symbol
_atom_site_fract_x
_atom_site_fract_y
_atom_site_fract_z
Ag1 Ag 0.500 0.668 0.332
Ag2 Ag 0.500 0.332 0.668
Er1 Er 0.000 0.398 0.398
In1 In 0.500 0.000 0.251
In2 In 0.500 0.749 0.749
In3 In 0.500 0.251 0.000
Lu1 Lu 0.000 0.603 0.000
Lu2 Lu 0.000 0.000 0.603
Ni1 Ni 0.000 0.999 0.999
```

density = 9.7 g cm⁻³
final energy = -4.114 eV per atom



The following is a DFT calculation (PBE) of ErLu2In3AgPt2 after structural relaxation.

The structure in CIF format:
```
data_ErLu2In3AgPt2
_chemical_formula_sum 'Er1 Lu2 In3 Ag1 Pt2'
_cell_length_a 3.707
_cell_length_b 7.784
_cell_length_c 7.784
_cell_angle_alpha 120.15
_cell_angle_beta 90.00
_cell_angle_gamma 90.00
_symmetry_space_group_name_H-M 'P 1'
_symmetry_Int_Tables_number 1
loop_
_symmetry_equiv_pos_as_xyz
'x,y,z'
loop_
_atom_site_label
_atom_site_type_symbol
_atom_site_fract_x
_atom_site_fract_y
_atom_site_fract_z
Ag1 Ag 0.000 0.999 0.999
Er1 Er 0.000 0.409 0.409
In1 In 0.500 0.999 0.270
In2 In 0.500 0.731 0.731
In3 In 0.500 0.270 0.999
Lu1 Lu 0.000 0.591 0.000
Lu2 Lu 0.000 0.000 0.591
Pt1 Pt 0.500 0.668 0.333
Pt2 Pt 0.500 0.333 0.668
```

density = 11.6 g cm⁻³
final energy = -4.897 eV per atom



The following is a DFT calculation (PBE) of NdEr2In3AgPd2 after structural relaxation.

The structure in CIF format:
```
data_NdEr2In3AgPd2
_chemical_formula_sum 'Nd1 Er2 In3 Ag1 Pd2'
_cell_length_a 3.818
_cell_length_b 7.861
_cell_length_c 7.861
_cell_angle_alpha 120.34
_cell_angle_beta 90.00
_cell_angle_gamma 90.00
_symmetry_space_group_name_H-M 'P 1'
_symmetry_Int_Tables_number 1
loop_
_symmetry_equiv_pos_as_xyz
'x,y,z'
loop_
_atom_site_label
_atom_site_type_symbol
_atom_site_fract_x
_atom_site_fract_y
_atom_site_fract_z
Ag1 Ag 0.500 0.998 0.998
Er1 Er 0.500 0.591 0.000
Er2 Er 0.500 0.000 0.591
In1 In 0.000 0.996 0.267
In2 In 0.000 0.735 0.735
In3 In 0.000 0.267 0.996
Nd1 Nd 0.500 0.410 0.410
Pd1 Pd 0.000 0.672 0.331
Pd2 Pd 0.000 0.331 0.672
```

density = 9.3 g cm⁻³
final energy = -4.596 eV per atom



The following is a DFT calculation (PBE) of Nd2ErIn3AgPd2 after structural relaxation.

The structure in CIF format:
```
data_Nd2ErIn3AgPd2
_chemical_formula_sum 'Nd2 Er1 In3 Ag1 Pd2'
_cell_length_a 3.884
_cell_length_b 7.865
_cell_length_c 7.865
_cell_angle_alpha 119.72
_cell_angle_beta 90.00
_cell_angle_gamma 90.00
_symmetry_space_group_name_H-M 'P 1'
_symmetry_Int_Tables_number 1
loop_
_symmetry_equiv_pos_as_xyz
'x,y,z'
loop_
_atom_site_label
_atom_site_type_symbol
_atom_site_fract_x
_atom_site_fract_y
_atom_site_fract_z
Ag1 Ag 0.500 0.003 0.003
Er1 Er 0.500 0.409 0.409
In1 In 0.000 0.266 0.004
In2 In 0.000 0.004 0.266
In3 In 0.000 0.730 0.730
Nd1 Nd 0.500 0.000 0.591
Nd2 Nd 0.500 0.591 0.000
Pd1 Pd 0.000 0.661 0.335
Pd2 Pd 0.000 0.335 0.661
```

density = 8.9 g cm⁻³
final energy = -4.613 eV per atom



The following is a DFT calculation (PBE) of Nd2ErIn3AgPt2 after structural relaxation.

The structure in CIF format:
```
data_Nd2ErIn3AgPt2
_chemical_formula_sum 'Nd2 Er1 In3 Ag1 Pt2'
_cell_length_a 3.907
_cell_length_b 7.862
_cell_length_c 7.862
_cell_angle_alpha 119.74
_cell_angle_beta 90.00
_cell_angle_gamma 90.00
_symmetry_space_group_name_H-M 'P 1'
_symmetry_Int_Tables_number 1
loop_
_symmetry_equiv_pos_as_xyz
'x,y,z'
loop_
_atom_site_label
_atom_site_type_symbol
_atom_site_fract_x
_atom_site_fract_y
_atom_site_fract_z
Ag1 Ag 0.000 0.997 0.997
Er1 Er 0.000 0.587 0.587
In1 In 0.500 0.266 0.266
In2 In 0.500 0.997 0.735
In3 In 0.500 0.735 0.997
Nd1 Nd 0.000 0.412 0.001
Nd2 Nd 0.000 0.001 0.412
Pt1 Pt 0.500 0.664 0.341
Pt2 Pt 0.500 0.341 0.664
```

density = 10.3 g cm⁻³
final energy = -4.936 eV per atom



The following is a DFT calculation (PBE) of Y2ErIn3Ni2Ag after structural relaxation.

The structure in CIF format:
```
data_Y2ErIn3Ni2Ag
_chemical_formula_sum 'Y2 Er1 In3 Ni2 Ag1'
_cell_length_a 3.795
_cell_length_b 7.649
_cell_length_c 7.649
_cell_angle_alpha 119.91
_cell_angle_beta 90.00
_cell_angle_gamma 90.00
_symmetry_space_group_name_H-M 'P 1'
_symmetry_Int_Tables_number 1
loop_
_symmetry_equiv_pos_as_xyz
'x,y,z'
loop_
_atom_site_label
_atom_site_type_symbol
_atom_site_fract_x
_atom_site_fract_y
_atom_site_fract_z
Ag1 Ag 0.000 0.001 0.001
Er1 Er 0.000 0.410 0.410
In1 In 0.500 0.275 0.001
In2 In 0.500 0.001 0.275
In3 In 0.500 0.725 0.725
Ni1 Ni 0.500 0.664 0.334
Ni2 Ni 0.500 0.334 0.664
Y1 Y 0.000 0.000 0.591
Y2 Y 0.000 0.591 0.000
```

density = 7.9 g cm⁻³
final energy = -4.877 eV per atom



The following is a DFT calculation (PBE) of Er3In3AgPd2 after structural relaxation.

The structure in CIF format:
```
data_Er3In3AgPd2
_chemical_formula_sum 'Er3 In3 Ag1 Pd2'
_cell_length_a 3.747
_cell_length_b 7.817
_cell_length_c 7.817
_cell_angle_alpha 120.01
_cell_angle_beta 90.00
_cell_angle_gamma 90.00
_symmetry_space_group_name_H-M 'P 1'
_symmetry_Int_Tables_number 1
loop_
_symmetry_equiv_pos_as_xyz
'x,y,z'
loop_
_atom_site_label
_atom_site_type_symbol
_atom_site_fract_x
_atom_site_fract_y
_atom_site_fract_z
Ag1 Ag 0.000 0.000 0.000
Er1 Er 0.000 0.407 0.000
Er2 Er 0.000 0.000 0.407
Er3 Er 0.000 0.592 0.592
In1 In 0.500 0.730 0.000
In2 In 0.500 0.270 0.270
In3 In 0.500 0.000 0.730
Pd1 Pd 0.500 0.667 0.333
Pd2 Pd 0.500 0.333 0.667
```

density = 9.8 g cm⁻³
final energy = -4.586 eV per atom